YTlReH2: optimized geometry, PBE.

Structure (CIF):
```
data_YTlReH2
_chemical_formula_sum 'Y1 Tl1 Re1 H2'
_symmetry_space_group_name_H-M 'P 4/m m m'
_symmetry_Int_Tables_number 123
_symmetry_space_group_name_Hall '-P 4 2'
_cell_length_a 3.940
_cell_length_b 3.940
_cell_length_c 6.845
_cell_angle_alpha 90.00
_cell_angle_beta 90.00
_cell_angle_gamma 90.00
loop_
_atom_site_label
_atom_site_type_symbol
_atom_site_fract_x
_atom_site_fract_y
_atom_site_fract_z
Y1 Y 0.000 0.000 0.000
Tl1 Tl 0.000 0.000 0.500
Re1 Re 0.500 0.500 0.000
H1 H 0.000 0.500 0.500
```

Output
The value obtained for the calculated volume is 21.25 Å³ per atom. The total magnetization comes out at 1.92 μB per formula unit. The electronic total energy is -21.86 eV/cell.

Tl3InSn2: optimized geometry, PBE.

Structure (CIF):
```
data_Tl3InSn2
_chemical_formula_sum 'Tl12 In4 Sn8'
_symmetry_space_group_name_H-M 'C 1 2/c 1'
_symmetry_Int_Tables_number 15
_cell_length_a 6.872
_cell_length_b 9.601
_cell_length_c 10.952
_cell_angle_alpha 90.00
_cell_angle_beta 90.74
_cell_angle_gamma 90.00
loop_
_symmetry_equiv_pos_as_xyz
'x,y,z'
'-x,-y,-z'
'-x,y,-z+1/2'
'x,-y,z+1/2'
'x+1/2,y+1/2,z'
'-x+1/2,-y+1/2,-z'
'-x+1/2,y+1/2,-z+1/2'
'x+1/2,-y+1/2,z+1/2'
loop_
_atom_site_label
_atom_site_type_symbol
_atom_site_fract_x
_atom_site_fract_y
_atom_site_fract_z
Tl1 Tl 0.000 0.089 0.250
Tl2 Tl 0.243 0.424 0.008
In1 In 0.000 0.458 0.250
Sn1 Sn 0.141 0.231 0.634
```

Output
The value obtained for the calculated volume is 30.10 Å³ per atom. The total magnetization comes out at 0.00 μB per formula unit. The electronic total energy is -69.95 eV/cell. The value obtained for the energy of formation from the pure elements is 0.059 eV per atom.

Y2MnRe: optimized geometry, PBE.

Structure (CIF):
```
data_Y2MnRe
_chemical_formula_sum 'Y8 Mn4 Re4'
_symmetry_space_group_name_H-M 'F -4 3 m'
_symmetry_Int_Tables_number 216
_symmetry_space_group_name_Hall 'F -4 2 3'
_cell_length_a 6.897
_cell_length_b 6.897
_cell_length_c 6.897
_cell_angle_alpha 90.00
_cell_angle_beta 90.00
_cell_angle_gamma 90.00
loop_
_atom_site_label
_atom_site_type_symbol
_atom_site_fract_x
_atom_site_fract_y
_atom_site_fract_z
Y1 Y 0.000 0.000 0.000
Y2 Y 0.250 0.250 0.250
Mn1 Mn 0.000 0.000 0.500
Re1 Re 0.250 0.250 0.750
```

Output
The value obtained for the calculated volume is 20.50 Å³ per atom. The total magnetization comes out at 3.68 μB per formula unit. The electronic total energy is -130.39 eV/cell. The calculation puts the energy relative to the lowest polymorph listed for this composition at 406 meV per atom. The value obtained for the energy of formation from the pure elements is 0.487 eV per atom.

CsGe2N2: optimized geometry, PBE.

Structure (CIF):
```
data_CsGe2N2
_chemical_formula_sum 'Cs2 Ge4 N4'
_symmetry_space_group_name_H-M 'I 4/m m m'
_symmetry_Int_Tables_number 139
_symmetry_space_group_name_Hall '-I 4 2'
_cell_length_a 3.855
_cell_length_b 3.855
_cell_length_c 12.927
_cell_angle_alpha 90.00
_cell_angle_beta 90.00
_cell_angle_gamma 90.00
loop_
_atom_site_label
_atom_site_type_symbol
_atom_site_fract_x
_atom_site_fract_y
_atom_site_fract_z
Cs1 Cs 0.000 0.000 0.000
Ge1 Ge 0.000 0.000 0.307
N1 N 0.000 0.500 0.250
```

Output
The value obtained for the calculated volume is 19.21 Å³ per atom. The total magnetization comes out at 0.00 μB per formula unit. The electronic total energy is -51.41 eV/cell. The calculation puts the energy relative to the lowest polymorph listed for this composition at 0 meV per atom. The energy relative to the elements, uncorrected is 0.206 eV per atom.

MnCrPI2: optimized geometry, PBE.

Structure (CIF):
```
data_MnCrPI2
_chemical_formula_sum 'Mn1 Cr1 P1 I2'
_symmetry_space_group_name_H-M 'P 4/m m m'
_symmetry_Int_Tables_number 123
_symmetry_space_group_name_Hall '-P 4 2'
_cell_length_a 5.651
_cell_length_b 5.651
_cell_length_c 4.436
_cell_angle_alpha 90.00
_cell_angle_beta 90.00
_cell_angle_gamma 90.00
loop_
_atom_site_label
_atom_site_type_symbol
_atom_site_fract_x
_atom_site_fract_y
_atom_site_fract_z
Mn1 Mn 0.000 0.000 0.000
Cr1 Cr 0.500 0.500 0.500
P1 P 0.500 0.500 0.000
I1 I 0.000 0.500 0.500
```

Output
The value obtained for the calculated volume is 28.34 Å³ per atom. The total magnetization comes out at 7.83 μB per formula unit. The electronic total energy is -24.68 eV/cell. The energy relative to the elements, uncorrected is 0.525 eV per atom.

CsSr2CdAs: optimized geometry, PBE.

Structure (CIF):
```
data_CsSr2CdAs
_chemical_formula_sum 'Cs1 Sr2 Cd1 As1'
_symmetry_space_group_name_H-M 'P 4/m m m'
_symmetry_Int_Tables_number 123
_symmetry_space_group_name_Hall '-P 4 2'
_cell_length_a 6.057
_cell_length_b 6.057
_cell_length_c 6.377
_cell_angle_alpha 90.00
_cell_angle_beta 90.00
_cell_angle_gamma 90.00
loop_
_atom_site_label
_atom_site_type_symbol
_atom_site_fract_x
_atom_site_fract_y
_atom_site_fract_z
Cs1 Cs 0.000 0.000 0.000
Sr1 Sr 0.000 0.500 0.500
Cd1 Cd 0.500 0.500 0.000
As1 As 0.500 0.500 0.500
```

Output
The value obtained for the calculated volume is 46.79 Å³ per atom. The total magnetization comes out at 0.00 μB per formula unit. The electronic total energy is -10.90 eV/cell. The value obtained for the energy of formation from the pure elements is -0.224 eV per atom.

NaEuGdCd: optimized geometry, PBE.

Structure (CIF):
```
data_NaEuGdCd
_chemical_formula_sum 'Na4 Eu4 Gd4 Cd4'
_symmetry_space_group_name_H-M 'F -4 3 m'
_symmetry_Int_Tables_number 216
_symmetry_space_group_name_Hall 'F -4 2 3'
_cell_length_a 7.905
_cell_length_b 7.905
_cell_length_c 7.905
_cell_angle_alpha 90.00
_cell_angle_beta 90.00
_cell_angle_gamma 90.00
loop_
_atom_site_label
_atom_site_type_symbol
_atom_site_fract_x
_atom_site_fract_y
_atom_site_fract_z
Na1 Na 0.000 0.000 0.000
Eu1 Eu 0.250 0.250 0.250
Gd1 Gd 0.250 0.250 0.750
Cd1 Cd 0.000 0.000 0.500
```

Output
The value obtained for the calculated volume is 30.88 Å³ per atom. The total magnetization comes out at 14.87 μB per formula unit. The electronic total energy is -106.58 eV/cell. The value obtained for the energy of formation from the pure elements is -0.014 eV per atom.

Pm2SbHPt6: optimized geometry, PBE.

Structure (CIF):
```
data_Pm2SbHPt6
_chemical_formula_sum 'Pm6 Sb3 H3 Pt18'
_symmetry_space_group_name_H-M 'R -3 m'
_symmetry_Int_Tables_number 166
_symmetry_space_group_name_Hall '-R 3 2"'
_cell_length_a 5.7634
_cell_length_b 5.7634
_cell_length_c 19.0111
_cell_angle_alpha 90.00
_cell_angle_beta 90.00
_cell_angle_gamma 120.00
loop_
_atom_site_label
_atom_site_type_symbol
_atom_site_fract_x
_atom_site_fract_y
_atom_site_fract_z
Pm1 Pm 0.0000 0.0000 0.2208
Sb1 Sb 0.0000 0.0000 0.5000
H1 H 0.0000 0.0000 0.0000
Pt1 Pt 0.0014 0.5007 0.7272
```

Output
The value obtained for the calculated volume is 18.23 Å³ per atom. The total magnetization comes out at 0.00 μB per formula unit. The electronic total energy is -181.22 eV/cell.

ZrAl2Pb: optimized geometry, PBE.

Structure (CIF):
```
data_ZrAl2Pb
_chemical_formula_sum 'Zr1 Al2 Pb1'
_symmetry_space_group_name_H-M 'P 4 m m'
_symmetry_Int_Tables_number 99
_cell_length_a 3.067
_cell_length_b 3.067
_cell_length_c 9.414
_cell_angle_alpha 90.00
_cell_angle_beta 90.00
_cell_angle_gamma 90.00
loop_
_symmetry_equiv_pos_as_xyz
'x,y,z'
'-y,x,z'
'-x,-y,z'
'y,-x,z'
'-x,y,z'
'y,x,z'
'x,-y,z'
'-y,-x,z'
loop_
_atom_site_label
_atom_site_type_symbol
_atom_site_fract_x
_atom_site_fract_y
_atom_site_fract_z
Zr1 Zr 0.000 0.000 0.000
Al1 Al 0.000 0.000 0.416
Al2 Al 0.500 0.500 0.212
Pb1 Pb 0.500 0.500 0.725
```

Output
The value obtained for the calculated volume is 22.14 Å³ per atom. The total magnetization comes out at 0.00 μB per formula unit. The electronic total energy is -19.71 eV/cell. The value obtained for the energy of formation from the pure elements is 0.008 eV per atom.

Pr2Mg2Ni15: optimized geometry, PBE.

Structure (CIF):
```
data_Pr2Mg2Ni15
_chemical_formula_sum 'Pr6 Mg6 Ni45'
_symmetry_space_group_name_H-M 'R -3 m'
_symmetry_Int_Tables_number 166
_symmetry_space_group_name_Hall '-R 3 2"'
_cell_length_a 8.4688
_cell_length_b 8.4688
_cell_length_c 12.4109
_cell_angle_alpha 90.00
_cell_angle_beta 90.00
_cell_angle_gamma 120.00
loop_
_atom_site_label
_atom_site_type_symbol
_atom_site_fract_x
_atom_site_fract_y
_atom_site_fract_z
Pr1 Pr 0.0000 0.0000 0.1500
Mg1 Mg 0.0000 0.0000 0.3977
Ni1 Ni 0.0000 0.2972 0.5000
Ni2 Ni 0.0000 0.5000 0.0000
Ni3 Ni 0.0002 0.5001 0.3436
```

Output
The value obtained for the calculated volume is 13.52 Å³ per atom. The total magnetization comes out at 3.69 μB per formula unit. The electronic total energy is -309.55 eV/cell. The value obtained for the energy of formation from the pure elements is -0.196 eV per atom.

AcBSO2: optimized geometry, PBE.

Structure (CIF):
```
data_AcBSO2
_chemical_formula_sum 'Ac2 B2 S2 O4'
_symmetry_space_group_name_H-M 'P 1 21/m 1'
_symmetry_Int_Tables_number 11
_cell_length_a 5.912
_cell_length_b 5.054
_cell_length_c 5.972
_cell_angle_alpha 90.00
_cell_angle_beta 103.33
_cell_angle_gamma 90.00
loop_
_symmetry_equiv_pos_as_xyz
'x,y,z'
'-x,-y,-z'
'-x,y+1/2,-z'
'x,-y+1/2,z'
loop_
_atom_site_label
_atom_site_type_symbol
_atom_site_fract_x
_atom_site_fract_y
_atom_site_fract_z
Ac1 Ac 0.234 0.250 0.297
B1 B 0.434 0.250 0.858
S1 S 0.089 0.250 0.766
O1 O 0.460 0.750 0.325
O2 O 0.471 0.750 0.916
```

Output
The value obtained for the calculated volume is 17.36 Å³ per atom. The total magnetization comes out at 0.00 μB per formula unit. The electronic total energy is -73.74 eV/cell. The energy relative to the elements, uncorrected is -2.409 eV per atom.

K2DyMn2Se4: optimized geometry, PBE.

Structure (CIF):
```
data_K2DyMn2Se4
_chemical_formula_sum 'K4 Dy2 Mn4 Se8'
_symmetry_space_group_name_H-M 'C 1 2/m 1'
_symmetry_Int_Tables_number 12
_cell_length_a 15.414
_cell_length_b 4.178
_cell_length_c 7.965
_cell_angle_alpha 90.00
_cell_angle_beta 109.81
_cell_angle_gamma 90.00
loop_
_symmetry_equiv_pos_as_xyz
'x,y,z'
'-x,-y,-z'
'-x,y,-z'
'x,-y,z'
'x+1/2,y+1/2,z'
'-x+1/2,-y+1/2,-z'
'-x+1/2,y+1/2,-z'
'x+1/2,-y+1/2,z'
loop_
_atom_site_label
_atom_site_type_symbol
_atom_site_fract_x
_atom_site_fract_y
_atom_site_fract_z
K1 K 0.131 0.000 0.055
Dy1 Dy 0.000 0.000 0.500
Mn1 Mn 0.179 0.500 0.484
Se1 Se 0.019 0.500 0.262
Se2 Se 0.200 0.000 0.681
```

Output
The value obtained for the calculated volume is 26.81 Å³ per atom. The total magnetization comes out at 9.01 μB per formula unit. The electronic total energy is -97.82 eV/cell. The energy relative to the elements, uncorrected is -1.093 eV per atom.